(1)
Below is HoAlGa after structural relaxation, with properties calculated at the PBE-GGA level.

The structure belongs to space group P4/nmm (No. 129, origin choice 2); the cell edges are 3.5268, 3.5268 and 10.3597 Å and the angles 90.00°, 90.00° and 90.00°. The inequivalent atoms are Ho at (0.2500, 0.2500, 0.1263), Al at (0.2500, 0.2500, 0.4297) and Ga at (0.2500, 0.2500, 0.6913).

The calculation puts the formation energy at -0.222 eV per atom. The calculation puts the calculated volume at 128.9 Å³ per cell. Its density of states at the Fermi level is 0.62 states/eV/atom.

(2)
Below is Cu2SbOs after structural relaxation, with properties calculated at the PBE-GGA level.

The structure belongs to space group Immm (No. 71); the cell edges are 3.1825, 4.2786 and 8.9473 Å and the angles 90.00°, 90.00° and 90.00°. The inequivalent atoms are Cu at (0.0000, 0.0000, 0.2504), Sb at (0.0000, 0.5000, 0.0000) and Os at (0.0000, 0.5000, 0.5000).

The formation energy without anion corrections is 442 meV per atom. The calculation puts the calculated volume at 121.8 Å³ per cell. Its density of states at the Fermi level is 0.94 states/eV/atom.